The following is a DFT calculation (PBE) of a relaxed ZnMoS2N crystal.

Output
As for the total energy: -5.56 eV per atom. The calculation puts the density of states at the Fermi level at 0.496 states/eV per atom. As for the crystal system: tetragonal.

Structure (POSCAR):
```
ZnMoS2N
1.0
-2.790 3.546 1.730
-3.300 -3.259 1.358
1.696 -0.311 3.374
Mo N S Zn
1 1 2 1
Cartesian
0.000 0.000 0.000
0.848 -0.156 1.687
-1.650 -1.629 0.679
-1.395 1.773 0.865
-2.197 -0.012 3.231
```